No. 1
Density functional theory data (PBE) for a relaxed structure of Si2AgSb.

Calculated values
Spin magnetization ... 0.000 μB per formula unit
ρ ... 5.28 g/cm³
Raw formation energy ... 443 meV per atom

a = 3.4828 Å, b = 4.4908 Å, c = 5.9046 Å
α = 90.00°, β = 103.43°, γ = 90.00°
Closest atoms and distances in Å follow each position.
Positions (direct):
Si1 0.1717 0.0000 0.3489  2 Si 2.37-2.55, 2 Ag 2.58
Si2 0.8283 0.0000 0.6511  2 Si 2.37-2.55, 2 Ag 2.58
Ag1 0.5000 0.5000 0.5000  4 Si 2.58
Sb1 0.0000 0.5000 0.0000  4 Si 3.01, 2 Ag 3.06


No. 2
Density functional theory data (PBE) for a relaxed structure of MgRuSeN2.

Calculated values
Spin magnetization ... 2.070 μB per formula unit
ρ ... 5.05 g/cm³
Raw formation energy ... 1685 meV per atom

a = 3.8805 Å, b = 3.8805 Å, c = 5.0700 Å
α = 90.00°, β = 90.00°, γ = 90.00°
Closest atoms and distances in Å follow each position.
Positions (direct):
Mg1 0.0000 0.0000 0.0000  4 N 1.94
Ru1 0.5000 0.5000 0.5000  4 Se 2.74
Se1 0.0000 0.0000 0.5000  2 Mg 2.54, 4 Ru 2.74
N1 0.0000 0.5000 0.0000  2 Mg 1.94
N2 0.5000 0.0000 0.0000  2 Mg 1.94


No. 3
Density functional theory data (PBE) for a relaxed structure of Mo2PbBr.

Calculated values
Spin magnetization ... 0.002 μB per formula unit
ρ ... 10.30 g/cm³
Raw formation energy ... 1049 meV per atom

a = 5.1036 Å, b = 5.1036 Å, c = 5.1036 Å
α = 129.49°, β = 129.49°, γ = 74.23°
Closest atoms and distances in Å follow each position.
Positions (direct):
Mo1 0.0000 0.0000 0.0000  4 Mo 2.98, 4 Pb 2.98, 4 Br 3.08
Mo2 0.7500 0.2500 0.5000  4 Mo 2.98, 4 Br 2.98, 4 Pb 3.08
Pb1 0.2500 0.7500 0.5000  8 Mo 2.98-3.08, 4 Br 2.98
Br1 0.5000 0.5000 0.0000  8 Mo 2.98-3.08, 4 Pb 2.98


No. 4
Density functional theory data (PBE) for a relaxed structure of Zr2GeMoH.

Calculated values
Spin magnetization ... 0.239 μB per formula unit
ρ ... 7.58 g/cm³
Raw total energy ... -7.52 eV/atom

a = 4.5117 Å, b = 4.5117 Å, c = 3.7886 Å
α = 90.00°, β = 90.00°, γ = 90.00°
Closest atoms and distances in Å follow each position.
Positions (direct):
Zr1 0.0000 0.5000 0.0000  2 H 2.26
Zr2 0.5000 0.0000 0.0000  2 H 2.26
Ge1 0.0000 0.0000 0.5000  8 Zr 2.95, 4 Mo 3.19
Mo1 0.5000 0.5000 0.5000  2 H 1.89
H1 0.5000 0.5000 0.0000  2 Mo 1.89


No. 5
Density functional theory data (PBE) for a relaxed structure of Sr2TlRe.

Calculated values
Energy of formation from the pure elements ... 0.796 eV per atom
Spin magnetization ... 0.000 μB per formula unit
ρ ... 8.22 g/cm³

a = 3.7791 Å, b = 3.7791 Å, c = 10.6142 Å
α = 94.84°, β = 94.84°, γ = 49.22°
Closest atoms and distances in Å follow each position.
Positions (direct):
Sr1 0.2419 0.2419 0.2182  3 Re 3.04-3.14, 2 Sr 3.15
Sr2 0.7581 0.7581 0.7818  3 Re 3.04-3.14, 2 Sr 3.15
Tl1 0.0000 0.0000 0.5000  2 Tl 3.15
Re1 0.5000 0.5000 0.0000  6 Sr 3.04-3.14, 2 Re 3.15


No. 6
Density functional theory data (PBE) for a relaxed structure of Tl3Si5.

Calculated values
Spin magnetization ... 0.000 μB per formula unit
ρ ... 6.27 g/cm³
Raw formation energy ... 534 meV per atom

a = 9.9528 Å, b = 9.9528 Å, c = 4.6556 Å
α = 90.00°, β = 90.00°, γ = 120.00°
Closest atoms and distances in Å follow each position.
Positions (direct):
Tl1 0.0000 0.3735 0.2500  8 Si 3.25-3.35, 2 Tl 3.43
Tl2 0.0000 0.6265 0.7500  8 Si 3.25-3.35, 2 Tl 3.43
Tl3 0.3735 0.0000 0.2500  8 Si 3.25-3.35, 2 Tl 3.43
Tl4 0.3735 0.3735 0.7500  8 Si 3.25-3.35, 2 Tl 3.43
Tl5 0.6265 0.0000 0.7500  8 Si 3.25-3.35, 2 Tl 3.43
Tl6 0.6265 0.6265 0.2500  8 Si 3.25-3.35, 2 Tl 3.43
Si1 0.0000 0.1442 0.7500  6 Si 2.49-2.73
Si2 0.0000 0.8558 0.2500  6 Si 2.49-2.73
Si3 0.1442 0.0000 0.7500  6 Si 2.49-2.73
Si4 0.1442 0.1442 0.2500  6 Si 2.49-2.73
Si5 0.3333 0.6667 0.0000  2 Si 2.33
Si6 0.3333 0.6667 0.5000  2 Si 2.33
Si7 0.6667 0.3333 0.0000  2 Si 2.33
Si8 0.6667 0.3333 0.5000  2 Si 2.33
Si9 0.8558 0.0000 0.2500  6 Si 2.49-2.73
Si10 0.8558 0.8558 0.7500  6 Si 2.49-2.73